# PBE MgZrSiNi, relaxed
data_MgZrSiNi
_chemical_formula_sum 'Mg4 Zr4 Si4 Ni4'
_cell_length_a 6.295
_cell_length_b 6.295
_cell_length_c 6.295
_cell_angle_alpha 90.00
_cell_angle_beta 90.00
_cell_angle_gamma 90.00
_symmetry_space_group_name_H-M 'F -4 3 m'
_symmetry_Int_Tables_number 216
_symmetry_space_group_name_Hall 'F -4 2 3'
loop_
_atom_site_label
_atom_site_fract_x
_atom_site_fract_y
_atom_site_fract_z
Mg1 0.000 0.000 0.000
Zr1 0.250 0.250 0.750
Si1 0.250 0.250 0.250
Ni1 0.000 0.000 0.500
# VASP energy	-85.319	eV for the cell shown

---

# PBE Sm2Mg3Ni2, relaxed
data_Sm2Mg3Ni2
_chemical_formula_sum 'Sm4 Mg6 Ni4'
_cell_length_a 4.021
_cell_length_b 20.902
_cell_length_c 3.686
_cell_angle_alpha 90.00
_cell_angle_beta 90.00
_cell_angle_gamma 90.00
_symmetry_space_group_name_H-M 'C m m m'
_symmetry_Int_Tables_number 65
_symmetry_space_group_name_Hall '-C 2 2'
loop_
_atom_site_label
_atom_site_fract_x
_atom_site_fract_y
_atom_site_fract_z
Sm1 0.000 0.175 0.000
Mg1 0.000 0.000 0.000
Mg2 0.000 0.422 0.500
Ni1 0.000 0.287 0.500
# VASP energy	-53.849	eV for the cell shown

---

# PBE SmMgNi, relaxed
data_SmMgNi
_chemical_formula_sum 'Sm4 Mg4 Ni4'
_cell_length_a 6.755
_cell_length_b 6.755
_cell_length_c 6.755
_cell_angle_alpha 90.00
_cell_angle_beta 90.00
_cell_angle_gamma 90.00
_symmetry_space_group_name_H-M 'F -4 3 m'
_symmetry_Int_Tables_number 216
_symmetry_space_group_name_Hall 'F -4 2 3'
loop_
_atom_site_label
_atom_site_fract_x
_atom_site_fract_y
_atom_site_fract_z
Sm1 0.000 0.000 0.000
Mg1 0.250 0.250 0.750
Ni1 0.250 0.250 0.250
# VASP energy	-40.674	eV for the cell shown

---

# PBE SmMgNi, relaxed
data_SmMgNi
_chemical_formula_sum 'Sm4 Mg4 Ni4'
_cell_length_a 6.545
_cell_length_b 6.545
_cell_length_c 6.545
_cell_angle_alpha 90.00
_cell_angle_beta 90.00
_cell_angle_gamma 90.00
_symmetry_space_group_name_H-M 'F -4 3 m'
_symmetry_Int_Tables_number 216
_symmetry_space_group_name_Hall 'F -4 2 3'
loop_
_atom_site_label
_atom_site_fract_x
_atom_site_fract_y
_atom_site_fract_z
Sm1 0.000 0.000 0.000
Mg1 0.000 0.000 0.500
Ni1 0.250 0.250 0.750
# VASP energy	-49.006	eV for the cell shown

---

# PBE SmMg2Ni9, relaxed
data_SmMg2Ni9
_chemical_formula_sum 'Sm3 Mg6 Ni27'
_cell_length_a 4.8545
_cell_length_b 4.8545
_cell_length_c 23.5930
_cell_angle_alpha 90.00
_cell_angle_beta 90.00
_cell_angle_gamma 120.00
_symmetry_space_group_name_H-M 'R -3 m'
_symmetry_Int_Tables_number 166
_symmetry_space_group_name_Hall '-R 3 2"'
loop_
_atom_site_label
_atom_site_fract_x
_atom_site_fract_y
_atom_site_fract_z
Sm1 0.0000 0.0000 0.0000
Mg1 0.0000 0.0000 0.1437
Ni1 0.0000 0.0000 0.3336
Ni2 0.0000 0.0000 0.5000
Ni3 0.0028 0.5014 0.9151
# VASP energy	-183.361	eV for the cell shown

---

# PBE MgNi2Sn, relaxed
data_MgNi2Sn
_chemical_formula_sum 'Mg4 Ni8 Sn4'
_cell_length_a 6.154
_cell_length_b 6.154
_cell_length_c 6.154
_cell_angle_alpha 90.00
_cell_angle_beta 90.00
_cell_angle_gamma 90.00
_symmetry_space_group_name_H-M 'F m -3 m'
_symmetry_Int_Tables_number 225
_symmetry_space_group_name_Hall '-F 4 2 3'
loop_
_atom_site_label
_atom_site_fract_x
_atom_site_fract_y
_atom_site_fract_z
Mg1 0.000 0.000 0.000
Ni1 0.250 0.250 0.250
Sn1 0.000 0.000 0.500
# ΔE to the lowest computed polymorph	0.001	eV per atom

---

# PBE MgNi2Sn, relaxed
data_MgNi2Sn
_chemical_formula_sum 'Mg4 Ni8 Sn4'
_cell_length_a 6.010
_cell_length_b 6.537
_cell_length_c 6.011
_cell_angle_alpha 90.00
_cell_angle_beta 90.00
_cell_angle_gamma 90.00
_symmetry_space_group_name_H-M 'I m m a'
_symmetry_Int_Tables_number 74
_symmetry_space_group_name_Hall '-I 2b 2'
loop_
_atom_site_label
_atom_site_fract_x
_atom_site_fract_y
_atom_site_fract_z
Mg1 0.000 0.250 0.000
Ni1 0.250 0.001 0.250
Sn1 0.000 0.250 0.501
# ΔE to the lowest computed polymorph	0.048	eV per atom

---

# PBE MgNi2Sn, relaxed
data_MgNi2Sn
_chemical_formula_sum 'Mg4 Ni8 Sn4'
_cell_length_a 6.208
_cell_length_b 6.208
_cell_length_c 6.208
_cell_angle_alpha 90.00
_cell_angle_beta 90.00
_cell_angle_gamma 90.00
_symmetry_space_group_name_H-M 'F -4 3 m'
_symmetry_Int_Tables_number 216
_symmetry_space_group_name_Hall 'F -4 2 3'
loop_
_atom_site_label
_atom_site_fract_x
_atom_site_fract_y
_atom_site_fract_z
Mg1 0.000 0.000 0.000
Ni1 0.000 0.000 0.500
Ni2 0.250 0.250 0.750
Sn1 0.250 0.250 0.250
# ΔE to the lowest computed polymorph	0.256	eV per atom